Version one
DFT (PBE) results for a relaxed Si3Au crystal.

The structure in POSCAR format:
```
Si3Au
1.0
2.775 0.000 0.000
0.000 4.765 0.000
0.000 0.000 4.892
Si Au
3 1
Cartesian
0.000 0.000 0.000
0.000 2.383 2.443
1.387 2.383 0.015
1.387 0.000 2.451
```

Results
As for the density of states at the Fermi level: 1.030 states/eV/cell.

Version two
DFT (PBE) results for a relaxed Si3Au crystal.

The structure in POSCAR format:
```
Si3Au
1.0
4.612 2.663 0.888
-4.612 2.663 0.888
0.000 -5.326 0.888
Si Au
3 1
Cartesian
-2.306 -1.331 0.888
-2.306 1.331 1.775
0.000 2.663 0.888
0.000 0.000 0.000
```

Results
As for the density of states at the Fermi level: 2.438 states/eV/cell.

Version three
DFT (PBE) results for a relaxed Si3Au crystal.

The structure in POSCAR format:
```
Si3Au
1.0
2.830 0.000 0.000
-1.415 2.451 0.000
0.000 0.000 9.161
Si Au
3 1
Cartesian
0.000 0.000 0.000
1.415 0.817 2.123
1.415 0.817 7.038
0.000 0.000 4.581
```

Results
As for the density of states at the Fermi level: 2.498 states/eV/cell.

Energies relative to the most stable structure are version one 0; version two 59; version three 28, reported in meV/atom.

Version one
DFT (PBE) results for a relaxed Si3Au5 crystal.

The structure in POSCAR format:
```
Si3Au5
1.0
3.982 -5.458 0.000
3.982 5.458 0.000
-1.555 0.000 7.040
Si Au
6 10
Cartesian
0.000 0.000 0.000
1.666 1.959 6.371
2.809 0.000 5.406
1.666 -1.959 6.371
5.213 1.762 2.618
5.213 -1.762 2.618
2.315 3.976 5.007
1.056 1.577 3.959
1.743 1.436 1.224
1.743 -1.436 1.224
1.056 -1.577 3.959
3.524 0.000 3.052
5.652 1.454 0.079
2.315 -3.976 5.007
5.652 -1.454 0.079
7.115 0.000 2.462
```

Results
As for the density of states at the Fermi level: 5.246 states/eV/cell.

Version two
DFT (PBE) results for a relaxed Si3Au5 crystal.

The structure in POSCAR format:
```
Si3Au5
1.0
6.925 0.000 0.000
-3.462 5.997 0.000
0.000 0.000 7.371
Si Au
6 10
Cartesian
-1.437 2.489 1.843
-2.025 3.507 5.528
2.875 0.000 1.843
1.437 2.489 5.528
4.050 0.000 5.528
2.025 3.507 1.843
-0.821 1.422 5.528
-2.641 4.575 1.843
1.642 0.000 5.528
0.821 1.422 1.843
0.000 3.998 0.000
0.000 3.998 3.685
3.462 1.999 0.000
3.462 1.999 3.685
5.282 0.000 1.843
2.641 4.575 5.528
```

Results
As for the density of states at the Fermi level: 6.012 states/eV/cell.

Energies relative to the most stable structure are version one 0; version two 53, reported in meV/atom.

Version one
DFT (PBE) results for a relaxed SiSnAu3 crystal.

The structure in POSCAR format:
```
SiSnAu3
1.0
5.149 0.000 0.000
0.000 5.149 0.000
0.000 0.000 5.149
Si Sn Au
1 1 3
Cartesian
0.000 0.000 0.000
2.574 2.574 2.574
0.000 2.574 2.574
2.574 0.000 2.574
2.574 2.574 0.000
```

Results
As for the density of states at the Fermi level: 3.340 states/eV/cell.

Version two
DFT (PBE) results for a relaxed SiSnAu3 crystal.

The structure in POSCAR format:
```
SiSnAu3
1.0
8.412 -2.268 0.000
8.412 2.268 0.000
-1.850 0.000 5.512
Si Sn Au
2 2 6
Cartesian
2.196 0.000 0.070
12.778 0.000 5.442
5.835 0.000 2.479
9.139 0.000 3.032
-0.254 0.000 1.420
2.443 0.000 2.534
3.272 0.000 5.299
11.703 0.000 0.213
12.532 0.000 2.977
15.228 0.000 4.092
```

Results
As for the density of states at the Fermi level: 2.295 states/eV/cell.

Energies relative to the most stable structure are version one 882; version two 0, reported in meV/atom.

Version one
DFT (PBE) results for a relaxed SiSnAu4 crystal.

The structure in POSCAR format:
```
SiSnAu4
1.0
4.317 0.000 0.000
0.000 7.896 0.000
-0.304 0.000 7.399
Si Sn Au
2 2 8
Cartesian
0.894 1.974 2.646
3.120 5.922 4.754
0.932 1.974 5.931
3.082 5.922 1.468
0.890 3.974 1.215
0.890 7.869 1.215
0.966 5.922 3.502
0.991 5.922 6.420
3.022 1.974 0.979
3.048 1.974 3.898
3.123 0.026 6.184
3.123 3.921 6.184
```

Results
As for the density of states at the Fermi level: 2.475 states/eV/cell.

Version two
DFT (PBE) results for a relaxed SiSnAu4 crystal.

The structure in POSCAR format:
```
SiSnAu4
1.0
8.515 -2.533 0.000
8.515 2.533 0.000
-2.011 0.000 5.505
Si Sn Au
2 2 8
Cartesian
4.257 1.267 0.000
3.252 -1.267 2.753
7.006 1.308 4.129
8.012 -1.308 1.376
4.596 1.334 2.502
6.791 1.209 0.552
9.234 1.209 2.201
11.428 1.334 0.250
3.590 -1.334 5.255
5.785 -1.209 3.304
8.228 -1.209 4.954
10.423 -1.334 3.003
```

Results
As for the density of states at the Fermi level: 3.068 states/eV/cell.

Energies relative to the most stable structure are version one 0; version two 21, reported in meV/atom.

Version one
DFT (PBE) results for a relaxed SrSiAu3 crystal.

The structure in POSCAR format:
```
SrSiAu3
1.0
6.890 0.000 0.000
0.000 6.962 0.000
0.000 0.000 4.947
Sr Si Au
2 2 6
Cartesian
0.000 0.000 0.000
3.445 3.481 0.000
0.000 3.481 2.473
3.445 0.000 2.473
0.000 3.481 0.000
1.637 1.656 2.473
1.808 5.137 2.473
3.445 0.000 0.000
5.082 1.825 2.473
5.253 5.306 2.473
```

Results
As for the density of states at the Fermi level: 5.916 states/eV/cell.

Version two
DFT (PBE) results for a relaxed SrSiAu3 crystal.

The structure in POSCAR format:
```
SrSiAu3
1.0
5.624 0.000 0.000
0.000 5.624 0.000
0.000 0.000 5.624
Sr Si Au
1 1 3
Cartesian
0.000 0.000 0.000
2.812 2.812 2.812
0.000 0.000 2.812
0.000 2.812 0.000
2.812 0.000 0.000
```

Results
As for the density of states at the Fermi level: 3.889 states/eV/cell.

Version three
DFT (PBE) results for a relaxed SrSiAu3 crystal.

The structure in POSCAR format:
```
SrSiAu3
1.0
-2.304 2.304 5.157
2.304 -2.304 5.157
2.304 2.304 -5.157
Sr Si Au
1 1 3
Cartesian
0.000 0.000 0.000
0.000 0.000 6.687
2.304 0.000 2.479
0.000 0.000 4.268
0.000 2.304 2.479
```

Results
As for the density of states at the Fermi level: 1.840 states/eV/cell.

Energies relative to the most stable structure are version one 106; version two 1571; version three 0, reported in meV/atom.

Version one
DFT (PBE) results for a relaxed SrSiAu4 crystal.

The structure in POSCAR format:
```
SrSiAu4
1.0
0.000 3.996 3.996
3.996 0.000 3.996
3.996 3.996 0.000
Sr Si Au
1 1 4
Cartesian
0.000 0.000 0.000
1.998 1.998 1.998
4.992 2.999 2.999
2.999 4.992 2.999
2.999 2.999 4.992
4.992 4.992 4.992
```

Results
As for the density of states at the Fermi level: 2.223 states/eV/cell.

Version two
DFT (PBE) results for a relaxed SrSiAu4 crystal.

The structure in POSCAR format:
```
SrSiAu4
1.0
2.216 -8.133 0.000
2.216 8.133 0.000
0.000 0.000 6.906
Sr Si Au
2 2 8
Cartesian
2.216 6.294 5.180
2.216 -6.294 1.727
2.216 4.325 1.727
2.216 -4.325 5.180
2.216 6.854 1.727
2.216 2.962 3.779
2.216 2.962 6.580
2.216 0.000 0.000
2.216 0.000 3.453
2.216 -2.962 0.326
2.216 -2.962 3.127
2.216 -6.854 5.180
```

Results
As for the density of states at the Fermi level: 4.853 states/eV/cell.

Energies relative to the most stable structure are version one 182; version two 0, reported in meV/atom.

Version one
DFT (PBE) results for a relaxed TaSi3Au crystal.

The structure in POSCAR format:
```
TaSi3Au
1.0
4.886 0.000 0.000
0.000 4.886 0.000
0.000 0.000 4.886
Ta Si Au
1 3 1
Cartesian
0.000 0.000 0.000
0.000 0.000 2.443
0.000 2.443 0.000
2.443 0.000 0.000
2.443 2.443 2.443
```

Results
As for the density of states at the Fermi level: 2.822 states/eV/cell.

Version two
DFT (PBE) results for a relaxed TaSi3Au crystal.

The structure in POSCAR format:
```
TaSi3Au
1.0
4.727 0.000 0.000
0.000 4.727 0.000
0.000 0.000 4.727
Ta Si Au
1 3 1
Cartesian
0.000 0.000 0.000
0.000 2.363 2.363
2.363 0.000 2.363
2.363 2.363 0.000
2.363 2.363 2.363
```

Results
As for the density of states at the Fermi level: 4.701 states/eV/cell.

Energies relative to the most stable structure are version one 0; version two 577, reported in meV/atom.

Version one
DFT (PBE) results for a relaxed TaSiAu3 crystal.

The structure in POSCAR format:
```
TaSiAu3
1.0
5.102 0.000 0.000
0.000 5.102 0.000
0.000 0.000 5.102
Ta Si Au
1 1 3
Cartesian
0.000 0.000 0.000
2.551 2.551 2.551
0.000 0.000 2.551
0.000 2.551 0.000
2.551 0.000 0.000
```

Results
As for the density of states at the Fermi level: 5.586 states/eV/cell.

Version two
DFT (PBE) results for a relaxed TaSiAu3 crystal.

The structure in POSCAR format:
```
TaSiAu3
1.0
4.644 0.000 0.000
0.000 4.644 0.000
0.000 0.000 4.644
Ta Si Au
1 1 3
Cartesian
0.000 0.000 0.000
2.322 2.322 2.322
0.000 2.322 2.322
2.322 0.000 2.322
2.322 2.322 0.000
```

Results
As for the density of states at the Fermi level: 4.667 states/eV/cell.

Energies relative to the most stable structure are version one 460; version two 0, reported in meV/atom.